(1)
This record from Alexandria describes crystalline NaTl2As at its relaxed geometry. The functional is PBE-GGA.

```
NaTl2As
1.0
4.328 0.000 0.000
2.164 3.748 0.000
2.164 1.249 7.510
Na Tl As
1 2 1
direct
0.500 0.500 0.500 Na
0.265 0.265 0.204 Tl
0.735 0.735 0.796 Tl
0.000 0.000 0.000 As
```

Output
Energy of formation = -0.28 eV per formula unit
Crystal system = trigonal

---

(2)
This record from Alexandria describes crystalline NpPaMn2 at its relaxed geometry. The functional is PBE-GGA.

```
NpPaMn2
1.0
-3.356 -0.219 2.388
-1.356 -3.665 1.321
1.200 -0.904 5.165
Mn Pa Np
2 1 1
direct
0.288 0.288 0.137 Mn
0.712 0.712 0.863 Mn
0.500 0.500 0.500 Pa
0.000 0.000 0.000 Np
```

Output
Energy of formation = 0.36 eV per formula unit
Crystal system = trigonal

---

Calculated magnetization in order - 0.0; 1.1 Bohr magnetons per cell